Here is a relaxed structure of Lu2AgOs from the Alexandria database. Energies are from GGA-PBE.

Properties
- Calculated volume: 83.1 Å³/f.u.
- Total magnetic moment: 0.0003 μB per atom
- Formation enthalpy at 0 K: -409.8 meV per atom
- Density of states at the Fermi level: 1.8 states/eV per cell

abc: 3.3435 3.3435 7.4367
angles: 90.00 90.00 90.00
Space group P4/mmm (No. 123)
Unique sites:
Lu (0.0000, 0.0000, 0.2194) (multiplicity 2)
Ag (0.5000, 0.5000, 0.5000) (multiplicity 1)
Os (0.5000, 0.5000, 0.0000) (multiplicity 1)